An optimized crystal structure of CoAg2, computed with PBE.

```
data_CoAg2
_cell_length_a 4.540
_cell_length_b 4.540
_cell_length_c 2.713
_cell_angle_alpha 90.00
_cell_angle_beta 90.00
_cell_angle_gamma 90.00
_space_group_name_H-M_alt 'P 1'
_space_group_IT_number 1
loop_
_space_group_symop_operation_xyz
'x,y,z'
loop_
_atom_site_label
_atom_site_type_symbol
_atom_site_fract_x
_atom_site_fract_y
_atom_site_fract_z
_atom_site_occupancy
Co1 Co 0.000 0.000 0.000 1
Ag1 Ag 0.000 0.500 0.500 1
Ag2 Ag 0.500 0.000 0.500 1
```

Values from the calculation:
VASP energy = -3.689 eV/atom
space-group type = P4/mmm